Entry 1:
RbTl2Cu2 | PBE | relaxed

DFT formation energy: 0.175 eV per atom
offset from the most stable computed form: 0.0 meV/atom
crystal system: tetragonal
final energy: -2.6035 eV/atom

Unit cell a=4.978 b=4.978 c=11.200 alpha=90.00 beta=90.00 gamma=90.00
Space group I4/mmm (No. 139)
Unique sites:
1 Rb 0.000 0.000 0.000
2 Tl 0.000 0.000 0.348
3 Cu 0.000 0.500 0.250

=====

Entry 2:
Rb3TlCu | PBE | relaxed

DFT formation energy: 0.309 eV per atom
offset from the most stable computed form: 0.0 meV/atom
crystal system: cubic
final energy: -1.5641 eV/atom

Unit cell a=6.569 b=6.569 c=6.569 alpha=90.00 beta=90.00 gamma=90.00
Space group Pm-3m (No. 221)
Unique sites:
1 Rb 0.000 0.000 0.500
2 Tl 0.500 0.500 0.500
3 Cu 0.000 0.000 0.000

=====

Entry 3:
RbTl2Cu2 | PBE | relaxed

DFT formation energy: 0.217 eV per atom
offset from the most stable computed form: 42.1 meV/atom
crystal system: tetragonal
final energy: -2.5614 eV/atom

Unit cell a=4.985 b=4.985 c=10.753 alpha=90.00 beta=90.00 gamma=90.00
Space group I4/mmm (No. 139)
Unique sites:
1 Rb 0.000 0.000 0.000
2 Tl 0.000 0.500 0.250
3 Cu 0.000 0.000 0.385

=====

Entry 4:
Rb2Tl2Cu | PBE | relaxed

DFT formation energy: 0.166 eV per atom
crystal system: tetragonal
final energy: -1.9865 eV/atom

Unit cell a=7.536 b=7.536 c=6.366 alpha=90.00 beta=90.00 gamma=90.00
Space group P4/mbm (No. 127)
Unique sites:
1 Rb 0.181 0.319 0.000
2 Tl 0.150 0.650 0.500
3 Cu 0.000 0.000 0.500

=====

Entry 5:
RbTlCu2 | PBE | relaxed

DFT formation energy: 0.327 eV per atom
offset from the most stable computed form: 0.0 meV/atom
crystal system: tetragonal
final energy: -2.5542 eV/atom

Unit cell a=5.156 b=5.156 c=18.526 alpha=90.00 beta=90.00 gamma=90.00
Space group I4_1/amd (No. 141, origin choice 2)
Unique sites:
1 Rb 0.000 0.250 0.375
2 Tl 0.000 0.250 0.875
3 Cu 0.000 0.000 0.000

=====

Entry 6:
RbTl2Cu2 | PBE | relaxed

DFT formation energy: 0.326 eV per atom
offset from the most stable computed form: 151.4 meV/atom
crystal system: tetragonal
final energy: -2.4522 eV/atom

Unit cell a=8.905 b=8.905 c=3.164 alpha=90.00 beta=90.00 gamma=90.00
Space group P4/mbm (No. 127)
Unique sites:
1 Rb 0.000 0.000 0.000
2 Tl 0.135 0.365 0.000
3 Cu 0.151 0.651 0.500

=====

Entry 7:
RbTl2ZnCu | PBE | relaxed

DFT formation energy: 0.135 eV per atom
crystal system: tetragonal
final energy: -2.0794 eV/atom

Unit cell a=5.391 b=5.391 c=5.056 alpha=90.00 beta=90.00 gamma=90.00
Space group P4/mmm (No. 123)
Unique sites:
1 Rb 0.000 0.000 0.000
2 Tl 0.000 0.500 0.500
3 Zn 0.500 0.500 0.000
4 Cu 0.500 0.500 0.500

=====

Entry 8:
RbVCu2 | PBE | relaxed

DFT formation energy: 0.955 eV per atom
offset from the most stable computed form: 0.0 meV/atom
crystal system: tetragonal
final energy: -3.6147 eV/atom

Unit cell a=5.117 b=5.117 c=17.378 alpha=90.00 beta=90.00 gamma=90.00
Space group I4_1/amd (No. 141, origin choice 2)
Unique sites:
1 Rb 0.000 0.250 0.375
2 V 0.000 0.250 0.875
3 Cu 0.000 0.000 0.000

=====

Entry 9:
Rb2VCu | PBE | relaxed

DFT formation energy: 1.202 eV per atom
offset from the most stable computed form: 251.7 meV/atom
crystal system: cubic
final energy: -2.5857 eV/atom

Unit cell a=8.563 b=8.563 c=8.563 alpha=90.00 beta=90.00 gamma=90.00
Space group Fm-3m (No. 225)
Unique sites:
1 Rb 0.250 0.250 0.250
2 V 0.000 0.000 0.000
3 Cu 0.000 0.000 0.500

=====

Entry 10:
Rb2VCu | PBE | relaxed

DFT formation energy: 0.950 eV per atom
offset from the most stable computed form: 0.0 meV/atom
crystal system: tetragonal
final energy: -2.8373 eV/atom

Unit cell a=12.880 b=12.880 c=4.891 alpha=90.00 beta=90.00 gamma=90.00
Space group I-42d (No. 122)
Unique sites:
1 Rb 0.079 0.250 0.125
2 V 0.000 0.000 0.500
3 Cu 0.000 0.000 0.000

=====

Entry 11:
RbV3Cu | PBE | relaxed

DFT formation energy: 2.703 eV per atom
offset from the most stable computed form: 1209.4 meV/atom
crystal system: cubic
final energy: -3.7812 eV/atom

Unit cell a=4.466 b=4.466 c=4.466 alpha=90.00 beta=90.00 gamma=90.00
Space group Pm-3m (No. 221)
Unique sites:
1 Rb 0.000 0.000 0.000
2 V 0.000 0.000 0.500
3 Cu 0.500 0.500 0.500

=====

Entry 12:
RbVCu2 | PBE | relaxed

DFT formation energy: 1.157 eV per atom
offset from the most stable computed form: 202.4 meV/atom
crystal system: cubic
final energy: -3.4122 eV/atom

Unit cell a=7.049 b=7.049 c=7.049 alpha=90.00 beta=90.00 gamma=90.00
Space group Fm-3m (No. 225)
Unique sites:
1 Rb 0.000 0.000 0.000
2 V 0.000 0.000 0.500
3 Cu 0.250 0.250 0.250

=====

Entry 13:
RbV3Cu | PBE | relaxed

DFT formation energy: 1.493 eV per atom
offset from the most stable computed form: 0.0 meV/atom
crystal system: cubic
final energy: -4.9906 eV/atom

Unit cell a=4.937 b=4.937 c=4.937 alpha=90.00 beta=90.00 gamma=90.00
Space group Pm-3m (No. 221)
Unique sites:
1 Rb 0.000 0.000 0.000
2 V 0.000 0.500 0.500
3 Cu 0.500 0.500 0.500

=====

Entry 14:
RbYVCu2 | PBE | relaxed

DFT formation energy: 1.868 eV per atom
crystal system: tetragonal
final energy: -3.0805 eV/atom

Unit cell a=5.112 b=5.112 c=5.914 alpha=90.00 beta=90.00 gamma=90.00
Space group P4/mmm (No. 123)
Unique sites:
1 Rb 0.000 0.000 0.000
2 Y 0.000 0.000 0.500
3 V 0.500 0.500 0.000
4 Cu 0.000 0.500 0.500

=====

Entry 15:
Rb2CuW2 | PBE | relaxed

DFT formation energy: 1.810 eV per atom
offset from the most stable computed form: 631.8 meV/atom
crystal system: tetragonal
final energy: -4.5779 eV/atom

Unit cell a=10.899 b=10.899 c=2.887 alpha=90.00 beta=90.00 gamma=90.00
Space group P4/mbm (No. 127)
Unique sites:
1 Rb 0.210 0.290 0.000
2 Cu 0.000 0.000 0.000
3 W 0.072 0.572 0.500

=====

Entry 16:
RbCuW2 | PBE | relaxed

DFT formation energy: 2.384 eV per atom
offset from the most stable computed form: 395.7 meV/atom
crystal system: cubic
final energy: -5.3585 eV/atom

Unit cell a=6.526 b=6.526 c=6.526 alpha=90.00 beta=90.00 gamma=90.00
Space group Fm-3m (No. 225)
Unique sites:
1 Rb 0.000 0.000 0.000
2 Cu 0.000 0.000 0.500
3 W 0.250 0.250 0.250

=====

Entry 17:
RbCuW2 | PBE | relaxed

DFT formation energy: 1.988 eV per atom
offset from the most stable computed form: 0.0 meV/atom
crystal system: tetragonal
final energy: -5.7543 eV/atom

Unit cell a=4.821 b=4.821 c=18.862 alpha=90.00 beta=90.00 gamma=90.00
Space group I-42d (No. 122)
Unique sites:
1 Rb 0.000 0.000 0.000
2 Cu 0.000 0.000 0.500
3 W 0.019 0.750 0.625

=====

Entry 18:
RbCu2W | PBE | relaxed

DFT formation energy: 1.673 eV per atom
offset from the most stable computed form: 186.8 meV/atom
crystal system: cubic
final energy: -3.8555 eV/atom

Unit cell a=6.925 b=6.925 c=6.925 alpha=90.00 beta=90.00 gamma=90.00
Space group Fm-3m (No. 225)
Unique sites:
1 Rb 0.000 0.000 0.000
2 Cu 0.250 0.250 0.250
3 W 0.000 0.000 0.500

=====

Entry 19:
RbCu2W | PBE | relaxed

DFT formation energy: 1.486 eV per atom
offset from the most stable computed form: 0.0 meV/atom
crystal system: tetragonal
final energy: -4.0422 eV/atom

Unit cell a=5.130 b=5.130 c=17.320 alpha=90.00 beta=90.00 gamma=90.00
Space group I4_1/amd (No. 141, origin choice 2)
Unique sites:
1 Rb 0.000 0.250 0.375
2 Cu 0.000 0.000 0.000
3 W 0.000 0.250 0.875

=====

Entry 20:
Rb2CuW2 | PBE | relaxed

DFT formation energy: 1.178 eV per atom
offset from the most stable computed form: 0.0 meV/atom
crystal system: tetragonal
final energy: -5.2097 eV/atom

Unit cell a=3.610 b=3.610 c=23.190 alpha=90.00 beta=90.00 gamma=90.00
Space group I4/mmm (No. 139)
Unique sites:
1 Rb 0.000 0.000 0.101
2 Cu 0.000 0.000 0.500
3 W 0.000 0.500 0.250

=====

Entry 21:
Rb2YCuW | PBE | relaxed

DFT formation energy: 1.668 eV per atom
crystal system: tetragonal
final energy: -3.4220 eV/atom

Unit cell a=5.940 b=5.940 c=5.683 alpha=90.00 beta=90.00 gamma=90.00
Space group P4/mmm (No. 123)
Unique sites:
1 Rb 0.000 0.500 0.000
2 Y 0.000 0.000 0.500
3 Cu 0.000 0.000 0.000
4 W 0.500 0.500 0.500

=====

Entry 22:
RbZrCu2W | PBE | relaxed

DFT formation energy: 2.019 eV per atom
crystal system: tetragonal
final energy: -4.1134 eV/atom

Unit cell a=4.814 b=4.814 c=5.203 alpha=90.00 beta=90.00 gamma=90.00
Space group P4/mmm (No. 123)
Unique sites:
1 Rb 0.000 0.000 0.000
2 Zr 0.500 0.500 0.000
3 Cu 0.000 0.500 0.500
4 W 0.000 0.000 0.500

=====

Entry 23:
Rb3YCu | PBE | relaxed

DFT formation energy: 0.754 eV per atom
offset from the most stable computed form: 0.0 meV/atom
crystal system: cubic
final energy: -1.9381 eV/atom

Unit cell a=6.616 b=6.616 c=6.616 alpha=90.00 beta=90.00 gamma=90.00
Space group Pm-3m (No. 221)
Unique sites:
1 Rb 0.000 0.000 0.500
2 Y 0.500 0.500 0.500
3 Cu 0.000 0.000 0.000

=====

Entry 24:
RbY2Cu2 | PBE | relaxed

DFT formation energy: 0.013 eV per atom
crystal system: monoclinic
final energy: -4.4050 eV/atom

Unit cell a=4.233 b=3.845 c=9.924 alpha=90.00 beta=102.11 gamma=90.00
Space group P2/m (No. 10)
Unique sites:
1 Rb 0.000 0.000 0.000
2 Y 0.322 0.500 0.646
3 Cu 0.212 0.000 0.422

=====

Entry 25:
Rb2YCu | PBE | relaxed

DFT formation energy: 0.633 eV per atom
offset from the most stable computed form: 0.0 meV/atom
crystal system: tetragonal
final energy: -2.4905 eV/atom

Unit cell a=12.586 b=12.586 c=5.455 alpha=90.00 beta=90.00 gamma=90.00
Space group I-42d (No. 122)
Unique sites:
1 Rb 0.111 0.250 0.125
2 Y 0.000 0.000 0.500
3 Cu 0.000 0.000 0.000

=====

Entry 26:
Rb3YCu | PBE | relaxed

DFT formation energy: 1.180 eV per atom
offset from the most stable computed form: 425.8 meV/atom
crystal system: cubic
final energy: -1.5124 eV/atom

Unit cell a=7.555 b=7.555 c=7.555 alpha=90.00 beta=90.00 gamma=90.00
Space group Pm-3m (No. 221)
Unique sites:
1 Rb 0.000 0.000 0.500
2 Y 0.000 0.000 0.000
3 Cu 0.500 0.500 0.500

=====

Entry 27:
Rb2YCu | PBE | relaxed

DFT formation energy: 0.988 eV per atom
offset from the most stable computed form: 354.8 meV/atom
crystal system: cubic
final energy: -2.1357 eV/atom

Unit cell a=8.899 b=8.899 c=8.899 alpha=90.00 beta=90.00 gamma=90.00
Space group Fm-3m (No. 225)
Unique sites:
1 Rb 0.250 0.250 0.250
2 Y 0.000 0.000 0.000
3 Cu 0.000 0.000 0.500